(1)
# LiGd2Au, optimized geometry, DFT GGA-PBE
# Excess energy over the best structure of this formula in the dataset ... 0.019 eV/atom
data_LiGd2Au
_chemical_formula_sum 'Li4 Gd8 Au4'
_space_group_name_H-M_alt 'F m -3 m'
_space_group_IT_number 225
_space_group_name_Hall '-F 4 2 3'
_cell_length_a 7.288
_cell_length_b 7.288
_cell_length_c 7.288
_cell_angle_alpha 90.00
_cell_angle_beta 90.00
_cell_angle_gamma 90.00
loop_
_atom_site_label
_atom_site_type_symbol
_atom_site_fract_x
_atom_site_fract_y
_atom_site_fract_z
Li1 Li 0.000 0.000 0.000
Gd1 Gd 0.250 0.250 0.250
Au1 Au 0.000 0.000 0.500

(2)
# LiGd2Au, optimized geometry, DFT GGA-PBE
# Excess energy over the best structure of this formula in the dataset ... 0.000 eV/atom
data_LiGd2Au
_chemical_formula_sum 'Li1 Gd2 Au1'
_space_group_name_H-M_alt 'P 4/m m m'
_space_group_IT_number 123
_space_group_name_Hall '-P 4 2'
_cell_length_a 5.055
_cell_length_b 5.055
_cell_length_c 3.769
_cell_angle_alpha 90.00
_cell_angle_beta 90.00
_cell_angle_gamma 90.00
loop_
_atom_site_label
_atom_site_type_symbol
_atom_site_fract_x
_atom_site_fract_y
_atom_site_fract_z
Li1 Li 0.000 0.000 0.000
Gd1 Gd 0.000 0.500 0.500
Au1 Au 0.500 0.500 0.000

(3)
# LiGdLuAu, optimized geometry, DFT GGA-PBE
# Total DFT energy (no corrections) ... -25.42 eV per formula unit
data_LiGdLuAu
_chemical_formula_sum 'Li4 Gd4 Lu4 Au4'
_space_group_name_H-M_alt 'F -4 3 m'
_space_group_IT_number 216
_space_group_name_Hall 'F -4 2 3'
_cell_length_a 7.179
_cell_length_b 7.179
_cell_length_c 7.179
_cell_angle_alpha 90.00
_cell_angle_beta 90.00
_cell_angle_gamma 90.00
loop_
_atom_site_label
_atom_site_type_symbol
_atom_site_fract_x
_atom_site_fract_y
_atom_site_fract_z
Li1 Li 0.000 0.000 0.000
Gd1 Gd 0.250 0.250 0.250
Lu1 Lu 0.250 0.250 0.750
Au1 Au 0.000 0.000 0.500

(4)
# LiGdNiAu, optimized geometry, DFT GGA-PBE
# Total DFT energy (no corrections) ... -26.53 eV per formula unit
data_LiGdNiAu
_chemical_formula_sum 'Li4 Gd4 Ni4 Au4'
_space_group_name_H-M_alt 'F -4 3 m'
_space_group_IT_number 216
_space_group_name_Hall 'F -4 2 3'
_cell_length_a 6.530
_cell_length_b 6.530
_cell_length_c 6.530
_cell_angle_alpha 90.00
_cell_angle_beta 90.00
_cell_angle_gamma 90.00
loop_
_atom_site_label
_atom_site_type_symbol
_atom_site_fract_x
_atom_site_fract_y
_atom_site_fract_z
Li1 Li 0.000 0.000 0.000
Gd1 Gd 0.250 0.250 0.750
Ni1 Ni 0.000 0.000 0.500
Au1 Au 0.250 0.250 0.250

(5)
# LiGdPAu, optimized geometry, DFT GGA-PBE
# Total DFT energy (no corrections) ... -27.89 eV per formula unit
data_LiGdPAu
_chemical_formula_sum 'Li4 Gd4 P4 Au4'
_space_group_name_H-M_alt 'F -4 3 m'
_space_group_IT_number 216
_space_group_name_Hall 'F -4 2 3'
_cell_length_a 6.818
_cell_length_b 6.818
_cell_length_c 6.818
_cell_angle_alpha 90.00
_cell_angle_beta 90.00
_cell_angle_gamma 90.00
loop_
_atom_site_label
_atom_site_type_symbol
_atom_site_fract_x
_atom_site_fract_y
_atom_site_fract_z
Li1 Li 0.000 0.000 0.000
Gd1 Gd 0.000 0.000 0.500
P1 P 0.250 0.250 0.250
Au1 Au 0.250 0.250 0.750

(6)
# LiGdPbAu, optimized geometry, DFT GGA-PBE
# Total DFT energy (no corrections) ... -25.10 eV per formula unit
data_LiGdPbAu
_chemical_formula_sum 'Li4 Gd4 Pb4 Au4'
_space_group_name_H-M_alt 'F -4 3 m'
_space_group_IT_number 216
_space_group_name_Hall 'F -4 2 3'
_cell_length_a 7.174
_cell_length_b 7.174
_cell_length_c 7.174
_cell_angle_alpha 90.00
_cell_angle_beta 90.00
_cell_angle_gamma 90.00
loop_
_atom_site_label
_atom_site_type_symbol
_atom_site_fract_x
_atom_site_fract_y
_atom_site_fract_z
Li1 Li 0.000 0.000 0.000
Gd1 Gd 0.000 0.000 0.500
Pb1 Pb 0.250 0.250 0.250
Au1 Au 0.250 0.250 0.750

(7)
# LiPmGdAu, optimized geometry, DFT GGA-PBE
# Total DFT energy (no corrections) ... -25.49 eV per formula unit
data_LiPmGdAu
_chemical_formula_sum 'Li4 Pm4 Gd4 Au4'
_space_group_name_H-M_alt 'F -4 3 m'
_space_group_IT_number 216
_space_group_name_Hall 'F -4 2 3'
_cell_length_a 7.346
_cell_length_b 7.346
_cell_length_c 7.346
_cell_angle_alpha 90.00
_cell_angle_beta 90.00
_cell_angle_gamma 90.00
loop_
_atom_site_label
_atom_site_type_symbol
_atom_site_fract_x
_atom_site_fract_y
_atom_site_fract_z
Li1 Li 0.000 0.000 0.000
Pm1 Pm 0.250 0.250 0.750
Gd1 Gd 0.250 0.250 0.250
Au1 Au 0.000 0.000 0.500

(8)
# LiGdPtAu, optimized geometry, DFT GGA-PBE
# Total DFT energy (no corrections) ... -28.42 eV per formula unit
data_LiGdPtAu
_chemical_formula_sum 'Li4 Gd4 Pt4 Au4'
_space_group_name_H-M_alt 'F -4 3 m'
_space_group_IT_number 216
_space_group_name_Hall 'F -4 2 3'
_cell_length_a 6.817
_cell_length_b 6.817
_cell_length_c 6.817
_cell_angle_alpha 90.00
_cell_angle_beta 90.00
_cell_angle_gamma 90.00
loop_
_atom_site_label
_atom_site_type_symbol
_atom_site_fract_x
_atom_site_fract_y
_atom_site_fract_z
Li1 Li 0.000 0.000 0.000
Gd1 Gd 0.000 0.000 0.500
Pt1 Pt 0.250 0.250 0.750
Au1 Au 0.250 0.250 0.250

(9)
# LiGdRhAu, optimized geometry, DFT GGA-PBE
# Total DFT energy (no corrections) ... -28.78 eV per formula unit
data_LiGdRhAu
_chemical_formula_sum 'Li4 Gd4 Rh4 Au4'
_space_group_name_H-M_alt 'F -4 3 m'
_space_group_IT_number 216
_space_group_name_Hall 'F -4 2 3'
_cell_length_a 6.725
_cell_length_b 6.725
_cell_length_c 6.725
_cell_angle_alpha 90.00
_cell_angle_beta 90.00
_cell_angle_gamma 90.00
loop_
_atom_site_label
_atom_site_type_symbol
_atom_site_fract_x
_atom_site_fract_y
_atom_site_fract_z
Li1 Li 0.000 0.000 0.000
Gd1 Gd 0.000 0.000 0.500
Rh1 Rh 0.250 0.250 0.750
Au1 Au 0.250 0.250 0.250

(10)
# LiGdSbAu, optimized geometry, DFT GGA-PBE
# E_form (uncorrected) ... -0.762 eV per atom
data_LiGdSbAu
_chemical_formula_sum 'Li4 Gd4 Sb4 Au4'
_space_group_name_H-M_alt 'F -4 3 m'
_space_group_IT_number 216
_space_group_name_Hall 'F -4 2 3'
_cell_length_a 7.160
_cell_length_b 7.160
_cell_length_c 7.160
_cell_angle_alpha 90.00
_cell_angle_beta 90.00
_cell_angle_gamma 90.00
loop_
_atom_site_label
_atom_site_type_symbol
_atom_site_fract_x
_atom_site_fract_y
_atom_site_fract_z
Li1 Li 0.000 0.000 0.000
Gd1 Gd 0.000 0.000 0.500
Sb1 Sb 0.250 0.250 0.250
Au1 Au 0.250 0.250 0.750

(11)
# LiGdSiAu, optimized geometry, DFT GGA-PBE
# E_form (uncorrected) ... -0.514 eV per atom
data_LiGdSiAu
_chemical_formula_sum 'Li4 Gd4 Si4 Au4'
_space_group_name_H-M_alt 'F -4 3 m'
_space_group_IT_number 216
_space_group_name_Hall 'F -4 2 3'
_cell_length_a 6.826
_cell_length_b 6.826
_cell_length_c 6.826
_cell_angle_alpha 90.00
_cell_angle_beta 90.00
_cell_angle_gamma 90.00
loop_
_atom_site_label
_atom_site_type_symbol
_atom_site_fract_x
_atom_site_fract_y
_atom_site_fract_z
Li1 Li 0.000 0.000 0.000
Gd1 Gd 0.000 0.000 0.500
Si1 Si 0.250 0.250 0.750
Au1 Au 0.250 0.250 0.250

(12)
# LiSmGdAu, optimized geometry, DFT GGA-PBE
# Total DFT energy (no corrections) ... -25.48 eV per formula unit
data_LiSmGdAu
_chemical_formula_sum 'Li4 Sm4 Gd4 Au4'
_space_group_name_H-M_alt 'F -4 3 m'
_space_group_IT_number 216
_space_group_name_Hall 'F -4 2 3'
_cell_length_a 7.326
_cell_length_b 7.326
_cell_length_c 7.326
_cell_angle_alpha 90.00
_cell_angle_beta 90.00
_cell_angle_gamma 90.00
loop_
_atom_site_label
_atom_site_type_symbol
_atom_site_fract_x
_atom_site_fract_y
_atom_site_fract_z
Li1 Li 0.000 0.000 0.000
Sm1 Sm 0.250 0.250 0.750
Gd1 Gd 0.250 0.250 0.250
Au1 Au 0.000 0.000 0.500